Record 1
DFT (PBE) results for TcBr5N2 after structural relaxation.

Output
Size of the total moment   7.999 μB/f.u.
E   -3.3239 eV per atom
Raw formation energy   1.0987 eV per atom
Crystal system   triclinic

a = 10.816 Å, b = 7.427 Å, c = 8.447 Å
α = 58.27°, β = 50.20°, γ = 36.39°
Sites, in units of the cell vectors:
Tc 0.878 0.002 0.000
N 0.724 0.509 0.484
Br 0.123 0.452 0.003
N 0.221 0.502 0.514
Br 0.592 0.132 0.001
Br 0.637 0.543 0.997
Br 0.178 0.937 0.684
Br 0.870 0.922 0.317

---

Record 2
DFT (PBE) results for PmZnPdRh after structural relaxation.

Output
Density of states at the Fermi level   2.030 states/eV per cell
Size of the total moment   0.000 μB/f.u.
ΔE_f   -2.3 eV/f.u.
E   -5.2178 eV per atom
Crystal system   cubic

a = 4.694 Å, b = 4.694 Å, c = 4.694 Å
α = 60.00°, β = 60.00°, γ = 60.00°
Sites, in units of the cell vectors:
Pd 0.250 0.250 0.250
Zn 0.000 0.000 0.000
Rh 0.750 0.750 0.750
Pm 0.500 0.500 0.500

---

Record 3
DFT (PBE) results for CuSnRhO6 after structural relaxation.

Output
Density of states at the Fermi level   15.112 states/eV per cell
Size of the total moment   1.293 μB/f.u.
E   -5.7154 eV per atom
Raw formation energy   -0.6932 eV per atom
Crystal system   trigonal

a = 5.229 Å, b = 5.229 Å, c = 8.559 Å
α = 90.00°, β = 90.00°, γ = 120.00°
Sites, in units of the cell vectors:
O 0.338 0.354 0.877
Cu 0.000 0.000 0.500
O 0.662 0.016 0.377
O 0.354 0.016 0.123
Sn 0.333 0.667 0.250
O 0.646 0.662 0.623
O 0.354 0.338 0.377
O 0.338 0.984 0.623
Rh 0.333 0.667 0.750
O 0.662 0.646 0.123
O 0.016 0.662 0.877
O 0.016 0.354 0.623
O 0.984 0.646 0.377
Sn 0.667 0.333 0.750
Cu 0.000 0.000 0.000
O 0.646 0.984 0.877
O 0.984 0.338 0.123
Rh 0.667 0.333 0.250